# CaC2 GGA-PBEsol optimized geometry
data_CaC2
_cell_length_a 2.7546
_cell_length_b 2.7546
_cell_length_c 8.3205
_cell_angle_alpha 90.00
_cell_angle_beta 90.00
_cell_angle_gamma 120.00
_space_group_name_H-M_alt 'P 1'
_space_group_IT_number 1
loop_
_space_group_symop_operation_xyz
'x,y,z'
loop_
_atom_site_label
_atom_site_type_symbol
_atom_site_fract_x
_atom_site_fract_y
_atom_site_fract_z
Ca1 Ca 0.0000 0.0000 0.2500
Ca2 Ca 0.0000 0.0000 0.7500
C1 C 0.6667 0.3333 0.5132
C2 C 0.3333 0.6667 0.0132
C3 C 0.6667 0.3333 0.9868
C4 C 0.3333 0.6667 0.4868
# Spin magnetization in μB per formula unit: 0.00
# Energy of formation in meV per atom: 569
# Symmetry: P6_3/mmc, No. 194

***

# CaC3 GGA-PBEsol optimized geometry
data_CaC3
_cell_length_a 4.6100
_cell_length_b 5.2671
_cell_length_c 5.0537
_cell_angle_alpha 90.00
_cell_angle_beta 90.00
_cell_angle_gamma 115.95
_space_group_name_H-M_alt 'P 1'
_space_group_IT_number 1
loop_
_space_group_symop_operation_xyz
'x,y,z'
loop_
_atom_site_label
_atom_site_type_symbol
_atom_site_fract_x
_atom_site_fract_y
_atom_site_fract_z
C1 C 0.0471 0.7898 0.2500
C2 C 0.0281 0.0562 0.2500
C3 C 0.9529 0.2102 0.7500
C4 C 0.7426 0.7898 0.2500
C5 C 0.9719 0.9438 0.7500
C6 C 0.2574 0.2102 0.7500
Ca1 Ca 0.3573 0.7146 0.7500
Ca2 Ca 0.6427 0.2854 0.2500
# Spin magnetization in μB per formula unit: 0.00
# Energy of formation in meV per atom: 982
# Symmetry: Cmcm, No. 63

***

# CaC2 GGA-PBEsol optimized geometry
data_CaC2
_cell_length_a 3.6879
_cell_length_b 4.6914
_cell_length_c 4.7584
_cell_angle_alpha 90.00
_cell_angle_beta 90.00
_cell_angle_gamma 113.14
_space_group_name_H-M_alt 'P 1'
_space_group_IT_number 1
loop_
_space_group_symop_operation_xyz
'x,y,z'
loop_
_atom_site_label
_atom_site_type_symbol
_atom_site_fract_x
_atom_site_fract_y
_atom_site_fract_z
C1 C 0.4383 0.8767 0.3965
C2 C 0.5617 0.1233 0.8965
C3 C 0.5617 0.1233 0.6035
C4 C 0.4383 0.8767 0.1035
Ca1 Ca 0.8544 0.7087 0.7500
Ca2 Ca 0.1456 0.2913 0.2500
# Spin magnetization in μB per formula unit: 0.00
# Energy of formation in meV per atom: -29
# Symmetry: Cmcm, No. 63

***

# CaC3 GGA-PBEsol optimized geometry
data_CaC3
_cell_length_a 2.7633
_cell_length_b 3.8370
_cell_length_c 4.0210
_cell_angle_alpha 90.00
_cell_angle_beta 90.00
_cell_angle_gamma 111.11
_space_group_name_H-M_alt 'P 1'
_space_group_IT_number 1
loop_
_space_group_symop_operation_xyz
'x,y,z'
loop_
_atom_site_label
_atom_site_type_symbol
_atom_site_fract_x
_atom_site_fract_y
_atom_site_fract_z
C1 C 0.6927 0.3853 0.5000
C2 C 0.5000 0.0000 0.5000
C3 C 0.3073 0.6147 0.5000
Ca1 Ca 0.0000 0.0000 0.0000
# Spin magnetization in μB per formula unit: 0.00
# Energy of formation in meV per atom: 425
# Symmetry: Cmmm, No. 65

***

> Which of these has the lowest energy of formation?

number 3

***

> Look up the energy of formation of the second one.

982 meV per atom

***

> Look up the spin magnetization of the third one.

0.00 μB per formula unit